[1]
# NbNiIr

NbNiIr after structural relaxation (PBE, Alexandria via LeMat-Bulk).

Cell: 3.9359 3.6940 12.0611 Å, 90.00 90.00 90.00°
Positions (direct):
Nb: 0.0000 0.0000 0.6329
Nb: 0.0000 0.5000 0.1329
Nb: 0.5000 0.0000 0.8255
Nb: 0.5000 0.5000 0.3255
Ni: 0.0000 0.0000 0.3056
Ni: 0.0000 0.5000 0.8056
Ni: 0.5000 0.0000 0.4839
Ni: 0.5000 0.5000 0.9839
Ir: 0.0000 0.0000 0.9720
Ir: 0.0000 0.5000 0.4720
Ir: 0.5000 0.0000 0.1519
Ir: 0.5000 0.5000 0.6519

Output
formation energy	-0.385	eV/atom

=====

[2]
# Nb2Ni4Ir

Nb2Ni4Ir after structural relaxation (PBE, Alexandria via LeMat-Bulk).

Cell: 5.1974 5.1974 5.2719 Å, 119.52 119.52 90.03°
Positions (direct):
Nb: 0.7857 0.2857 0.5714
Nb: 0.2857 0.7857 0.5714
Ni: 0.7856 0.2858 0.0714
Ni: 0.2857 0.7856 0.0714
Ni: 0.2857 0.2857 0.0715
Ni: 0.7858 0.7858 0.0715
Ir: 0.7857 0.7857 0.5714

Output
formation energy	-0.096	eV/atom

=====

[3]
# Nb2Ni2Ir

Nb2Ni2Ir after structural relaxation (PBE, Alexandria via LeMat-Bulk).

Cell: 6.7510 6.7510 3.1735 Å, 90.00 90.00 90.00°
Positions (direct):
Ni: 0.3751 0.8751 0.0000
Ni: 0.8751 0.6249 0.0000
Ni: 0.6249 0.1249 0.0000
Ni: 0.1249 0.3751 0.0000
Nb: 0.1769 0.6769 0.5000
Nb: 0.6769 0.8231 0.5000
Nb: 0.8231 0.3231 0.5000
Nb: 0.3231 0.1769 0.5000
Ir: 0.0000 0.0000 0.0000
Ir: 0.5000 0.5000 0.0000

Output
formation energy	-0.339	eV/atom
distance to the lowest polymorph of the same formula	0	meV per atom